1.
Na6CaCd6 | GGA-PBE | optimized geometry

```
Na6CaCd6
1.0
5.580 0.000 2.230
2.776 7.696 1.150
-0.066 -0.147 8.260
Na Ca Cd
6 1 6
Cartesian
3.715 4.907 6.897
4.576 2.642 4.743
0.896 2.507 5.854
1.815 5.042 3.556
2.228 1.478 2.521
6.063 6.071 9.119
0.000 0.000 0.000
1.388 3.848 0.575
4.178 3.848 1.690
-0.033 -0.074 4.130
2.757 -0.074 5.245
4.952 6.000 3.802
3.339 1.549 7.838
```


2.
FeTc2Br | GGA-PBE | optimized geometry

```
FeTc2Br
1.0
-1.148 -0.713 2.675
2.761 -0.514 1.047
0.491 6.724 2.003
Br Fe Tc
1 1 2
Cartesian
0.252 3.445 1.026
1.179 4.486 3.380
0.005 0.069 0.021
0.914 0.859 2.300
```

As for the formation energy without anion corrections: 0.491 eV per atom. As for the energy above the most stable polymorph in this dataset: 25 kJ/mol of formula units.


3.
ErSc2Ir | GGA-PBE | optimized geometry

```
ErSc2Ir
1.0
-4.920 1.351 -3.181
0.864 -5.870 -3.829
-4.859 -4.399 5.648
Er Sc Ir
4 8 4
Cartesian
-3.809 -3.372 -2.589
-5.518 -0.086 -1.501
-5.107 -5.546 1.228
-3.398 -8.832 0.139
-0.519 -4.006 -2.762
-3.637 -2.504 0.744
-6.557 -3.247 -0.738
-7.119 -8.080 0.034
-8.397 -4.912 1.401
-5.279 -6.414 -2.105
-2.359 -5.671 -0.624
-1.797 -0.839 -1.395
-1.198 -3.265 -0.260
-2.597 -5.697 -3.358
-7.718 -5.653 -1.101
-6.319 -3.221 1.996
```

As for the energy above the most stable polymorph in this dataset: 0 kJ/mol of formula units.


4.
LiVC2 | GGA-PBE | optimized geometry

```
LiVC2
1.0
-2.525 -3.284 1.776
2.863 -3.079 -1.624
3.195 -2.905 4.888
C V Li
4 2 2
Cartesian
-0.769 -3.616 2.373
0.096 -5.893 1.960
2.128 -4.141 3.946
0.223 -5.092 5.199
0.000 0.000 0.000
0.420 -4.685 3.370
0.169 -3.181 0.076
3.113 -4.583 1.670
```

As for the energy above the most stable polymorph in this dataset: 0 kJ/mol of formula units.


no.,VASP energy (eV/atom)
1,-1.274
2,-7.226
3,-7.126
4,-6.475